[1]
Density functional theory data (PBE) for NaCa3Hg4 after structural relaxation.

Properties
Its energy of formation is -0.46 eV/atom.

Cell lengths 5.367, 5.367, 7.458 Å; angles 90.00, 90.00, 90.00 degrees
Space group P4/mmm (No. 123)
Unique sites:
Na: 0.000 0.000 0.000 x1
Ca: 0.000 0.000 0.500 x1
Ca: 0.500 0.500 0.000 x1
Ca: 0.500 0.500 0.500 x1
Hg: 0.000 0.500 0.250 x4



[2]
Density functional theory data (PBE) for Na12Ca3Hg5 after structural relaxation.

Properties
Its energy of formation is 0.15 eV/atom.

Cell lengths 18.964, 18.964, 18.964 Å; angles 90.00, 90.00, 90.00 degrees
Space group Ia-3d (No. 230)
Unique sites:
Na: 0.037 0.065 0.638 x96
Ca: 0.000 0.250 0.125 x24
Hg: 0.000 0.000 0.000 x16
Hg: 0.000 0.250 0.375 x24



[3]
Density functional theory data (PBE) for Na12CaHg6 after structural relaxation.

Properties
Its energy of formation is -0.17 eV/atom. As for the offset from the most stable computed form: 0 meV per atom.

Cell lengths 11.3829, 11.3829, 14.9912 Å; angles 90.00, 90.00, 120.00 degrees
Space group R-3 (No. 148, hexagonal axes)
Unique sites:
Na: 0.0428 0.1950 0.3027 x18
Na: 0.0572 0.8288 0.9166 x18
Ca: 0.0000 0.0000 0.5000 x3
Hg: 0.0313 0.4394 0.2126 x18



[4]
Density functional theory data (PBE) for Na8CaHg4 after structural relaxation.

Properties
Its energy of formation is -0.13 eV/atom.

Cell lengths 3.960, 5.161, 19.899 Å; angles 90.00, 90.00, 90.00 degrees
Space group Pmm2 (No. 25)
Unique sites:
Na: 0.000 0.000 0.000 x1
Na: 0.000 0.000 0.259 x1
Na: 0.000 0.500 0.150 x1
Na: 0.000 0.500 0.599 x1
Na: 0.500 0.000 0.596 x1
Na: 0.500 0.000 0.856 x1
Na: 0.500 0.500 0.008 x1
Na: 0.500 0.500 0.747 x1
Ca: 0.000 0.000 0.442 x1
Hg: 0.000 0.000 0.723 x1
Hg: 0.000 0.500 0.880 x1
Hg: 0.500 0.000 0.126 x1
Hg: 0.500 0.500 0.473 x1



[5]
Density functional theory data (PBE) for Na4CaHg5 after structural relaxation.

Properties
Its energy of formation is -0.30 eV/atom.

Cell lengths 3.788, 3.788, 18.203 Å; angles 90.00, 90.00, 90.00 degrees
Space group P4/mmm (No. 123)
Unique sites:
Na: 0.000 0.000 0.098 x2
Na: 0.000 0.000 0.297 x2
Ca: 0.000 0.000 0.500 x1
Hg: 0.500 0.500 0.000 x1
Hg: 0.500 0.500 0.197 x2
Hg: 0.500 0.500 0.397 x2



[6]
Density functional theory data (PBE) for NaCa4Hg5 after structural relaxation.

Properties
Its energy of formation is -0.48 eV/atom.

Cell lengths 3.734, 3.734, 19.284 Å; angles 90.00, 90.00, 90.00 degrees
Space group P4/mmm (No. 123)
Unique sites:
Na: 0.000 0.000 0.000 x1
Ca: 0.000 0.000 0.198 x2
Ca: 0.000 0.000 0.400 x2
Hg: 0.500 0.500 0.097 x2
Hg: 0.500 0.500 0.299 x2
Hg: 0.500 0.500 0.500 x1



Question: Which value of energy of formation does entry 4 give?
Answer: -0.13 eV/atom